This record from Alexandria describes a relaxed structure of CrCdCu2F8. The functional is PBE with a Hubbard U.

Properties
V in A^3/atom: 12.50
E in eV/f.u.: -54.088

Cell and atoms, written as CIF:
```
data_CrCdCu2F8
_chemical_formula_sum 'Cr2 Cd2 Cu4 F16'
_cell_length_a 5.336
_cell_length_b 5.336
_cell_length_c 10.539
_cell_angle_alpha 90.00
_cell_angle_beta 90.00
_cell_angle_gamma 90.00
_symmetry_space_group_name_H-M 'I -4'
_symmetry_Int_Tables_number 82
loop_
_symmetry_equiv_pos_as_xyz
'x,y,z'
'y,-x,-z'
'-x,-y,z'
'-y,x,-z'
'x+1/2,y+1/2,z+1/2'
'y+1/2,-x+1/2,-z+1/2'
'-x+1/2,-y+1/2,z+1/2'
'-y+1/2,x+1/2,-z+1/2'
loop_
_atom_site_label
_atom_site_type_symbol
_atom_site_fract_x
_atom_site_fract_y
_atom_site_fract_z
Cr1 Cr 0.000 0.000 0.000
Cd1 Cd 0.000 0.500 0.250
Cu1 Cu 0.000 0.000 0.500
Cu2 Cu 0.000 0.500 0.750
F1 F 0.150 0.811 0.815
F2 F 0.196 0.697 0.050
```